Entry 1:
Density functional theory data (GGA-PBE) for a relaxed structure of LaY8Ho4.

Its formation energy is 0.1911 eV per atom. The size of the total moment comes out at 0.0 μB per formula unit.

It has space group R-3m (No. 166, hexagonal axes), with a = 7.3163 Å, b = 7.3163 Å, c = 27.1626 Å, α = 90.00°, β = 90.00° and γ = 120.00°. The inequivalent atoms are La at (0.0000, 0.0000, 0.0000), Y at (0.0000, 0.0000, 0.2808), Y at (0.0340, 0.5170, 0.2681), Ho at (0.0000, 0.0000, 0.5000) and Ho at (0.0000, 0.5000, 0.5000).



Entry 2:
Density functional theory data (GGA-PBE) for a relaxed structure of Th2ZnGa3Pd4.

Its formation energy is -0.7293 eV per atom. The size of the total moment comes out at 0.0 μB per formula unit.

It has space group P-4m2 (No. 115), with a = 4.2639 Å, b = 4.2639 Å, c = 10.6171 Å, α = 90.00°, β = 90.00° and γ = 90.00°. The inequivalent atoms are Th at (0.0000, 0.5000, 0.2442), Zn at (0.5000, 0.5000, 0.0000), Ga at (0.0000, 0.0000, 0.0000), Ga at (0.0000, 0.5000, 0.6288), Pd at (0.0000, 0.0000, 0.5000), Pd at (0.0000, 0.5000, 0.8627) and Pd at (0.5000, 0.5000, 0.5000).



Entry 3:
Density functional theory data (GGA-PBE) for a relaxed structure of KErPuBr6.

The calculation puts the total energy at -5.04 eV/atom. The size of the total moment comes out at 6.0 μB per formula unit.

It has space group P-31c (No. 163), with a = 7.4690 Å, b = 7.4690 Å, c = 14.5278 Å, α = 90.00°, β = 90.00° and γ = 120.00°. The inequivalent atoms are K at (0.0000, 0.0000, 0.0000), Er at (0.3333, 0.6667, 0.2500), Pu at (0.3333, 0.6667, 0.7500) and Br at (0.0197, 0.3732, 0.1370).



Entry 4:
Density functional theory data (GGA-PBE) for a relaxed structure of SrNb2AlPb.

Its formation energy is 2.1093 eV per atom. The size of the total moment comes out at 0.0 μB per formula unit.

It has space group P4/mmm (No. 123), with a = 5.0697 Å, b = 5.0697 Å, c = 5.4391 Å, α = 90.00°, β = 90.00° and γ = 90.00°. The inequivalent atoms are Sr at (0.0000, 0.0000, 0.0000), Nb at (0.0000, 0.5000, 0.0000), Al at (0.0000, 0.0000, 0.5000) and Pb at (0.5000, 0.5000, 0.5000).



Entry 5:
Density functional theory data (GGA-PBE) for a relaxed structure of GdPS.

The calculation puts the total energy at -9.38 eV/atom. The size of the total moment comes out at 7.0 μB per formula unit.

It has space group Pnma (No. 62), with a = 7.0692 Å, b = 3.6897 Å, c = 9.2941 Å, α = 90.00°, β = 90.00° and γ = 90.00°. The inequivalent atoms are Gd at (0.2054, 0.2500, 0.1593), P at (0.0875, 0.2500, 0.4618) and S at (0.0935, 0.2500, 0.8442).



Entry 6:
Density functional theory data (GGA-PBE) for a relaxed structure of TaIrW2.

The energy relative to the lowest polymorph listed for this composition comes out at 42.4 meV/atom. Its formation energy is -0.0584 eV per atom. The size of the total moment comes out at 0.0 μB per formula unit.

It has space group C2/m (No. 12), with a = 5.4754 Å, b = 9.0589 Å, c = 2.7657 Å, α = 90.00°, β = 109.02° and γ = 90.00°. The inequivalent atoms are Ta at (0.0000, 0.0000, 0.0000), Ir at (0.0000, 0.5000, 0.0000) and W at (0.2500, 0.2500, 0.5000).



Entry 7:
Density functional theory data (GGA-PBE) for a relaxed structure of CsTaMn2Cl8.

The calculation puts the total energy at -4.95 eV/atom. The size of the total moment comes out at 8.0 μB per formula unit.

It has space group R32 (No. 155, hexagonal axes), with a = 6.2707 Å, b = 6.2707 Å, c = 33.1868 Å, α = 90.00°, β = 90.00° and γ = 120.00°. The inequivalent atoms are Cs at (0.0000, 0.0000, 0.0000), Ta at (0.0000, 0.0000, 0.5000), Mn at (0.0000, 0.0000, 0.2358), Cl at (0.0000, 0.0000, 0.3048) and Cl at (0.0193, 0.3115, 0.5484).



Entry 8:
Density functional theory data (GGA-PBE) for a relaxed structure of Na2TiMn2S6.

The calculation puts the total energy at -5.82 eV/atom. The size of the total moment comes out at 3.9 μB per formula unit.

It has space group C2/m (No. 12), with a = 5.8681 Å, b = 10.2017 Å, c = 7.1151 Å, α = 90.00°, β = 105.48° and γ = 90.00°. The inequivalent atoms are Na at (0.0000, 0.1632, 0.0000), Ti at (0.0000, 0.0000, 0.5000), Mn at (0.0000, 0.3329, 0.5000), S at (0.2163, 0.5000, 0.6986) and S at (0.2376, 0.1734, 0.6978).



Entry 9:
Density functional theory data (GGA-PBE) for a relaxed structure of MnFe3S.

The energy relative to the lowest polymorph listed for this composition comes out at 433.5 meV/atom. The size of the total moment comes out at 6.2 μB per formula unit.

It has space group Pm-3m (No. 221), with a = 4.2563 Å, b = 4.2563 Å, c = 4.2563 Å, α = 90.00°, β = 90.00° and γ = 90.00°. The inequivalent atoms are Mn at (0.0000, 0.0000, 0.0000), Fe at (0.0000, 0.0000, 0.5000) and S at (0.5000, 0.5000, 0.5000).



Entry 10:
Density functional theory data (GGA-PBE) for a relaxed structure of MgSc2Co.

Its formation energy is -0.1016 eV per atom. The size of the total moment comes out at 0.0 μB per formula unit.

It has space group Immm (No. 71), with a = 3.5179 Å, b = 5.0245 Å, c = 8.7177 Å, α = 90.00°, β = 90.00° and γ = 90.00°. The inequivalent atoms are Mg at (0.0000, 0.0000, 0.0000), Sc at (0.0000, 0.5000, 0.2006) and Co at (0.0000, 0.0000, 0.5000).



Entry 11:
Density functional theory data (GGA-PBE) for a relaxed structure of Pr8Te4AsP3.

The calculation puts the total energy at -6.04 eV/atom. The size of the total moment comes out at 0.0 μB per formula unit.

It has space group R-3m (No. 166, hexagonal axes), with a = 8.6295 Å, b = 8.6295 Å, c = 22.1696 Å, α = 90.00°, β = 90.00° and γ = 120.00°. The inequivalent atoms are Pr at (0.0000, 0.0000, 0.2378), Pr at (0.0049, 0.5024, 0.7613), Te at (0.0000, 0.0000, 0.0000), Te at (0.0000, 0.5000, 0.0000), As at (0.0000, 0.0000, 0.5000) and P at (0.0000, 0.5000, 0.5000).



Entry 12:
Density functional theory data (GGA-PBE) for a relaxed structure of HfPd2PbS.

The calculation puts the total energy at -4.74 eV/atom. The size of the total moment comes out at 0.0 μB per formula unit.

It has space group P4/mmm (No. 123), with a = 4.9998 Å, b = 4.9998 Å, c = 5.1645 Å, α = 90.00°, β = 90.00° and γ = 90.00°. The inequivalent atoms are Hf at (0.0000, 0.0000, 0.0000), Pd at (0.0000, 0.5000, 0.5000), Pb at (0.5000, 0.5000, 0.5000) and S at (0.5000, 0.5000, 0.0000).